Below is crystalline AlCd2FeNi at its relaxed geometry, with properties calculated at the GGA-PBE level.

The space group is No. 123. Its electronic total energy is -3.0404 eV per atom. As for the formation energy: 4.61 eV per formula unit. For the magnetization, the calculation gives 0.4 μB/cell.

a b c (Å): 4.8809 4.8809 4.4079
angles (deg): 90.00 90.00 90.00
Closest atoms and distances in Å follow each position.
Fractional coordinates of all 5 atoms:
Ni 0.5000 0.5000 0.5000  8 Cd 3.29, 4 Al 3.45
Al 0.0000 0.0000 0.5000  2 Fe 2.20
Fe 0.0000 0.0000 0.0000  2 Al 2.20, 4 Cd 2.44
Cd 0.0000 0.5000 0.0000  2 Fe 2.44
Cd 0.5000 0.0000 0.0000  2 Fe 2.44